Density functional theory data (PBE) for an optimized crystal structure of NiMoRu.

The space group is I4mm (No. 107) and the conventional cell measures 3.164, 3.164 and 8.222 Å, with angles of 90.00, 90.00 and 90.00 degrees. Symmetry generates all atoms from Ni at (0.000, 0.000, 0.000), Mo at (0.000, 0.000, 0.656) and Ru at (0.000, 0.000, 0.327).

The value obtained for the total magnetization is 0.000 μB per cell. The value obtained for the density of states at the Fermi level is 0.75 states/eV/atom. The calculation puts the energy relative to the elements at 0.063 eV per atom. The volume is 41 Å³/f.u. The value obtained for the excess energy over the best structure of this formula in the dataset is 119 meV per atom.

=====

Density functional theory data (PBE) for an optimized crystal structure of NiMoRu2.

The space group is I-42d (No. 122) and the conventional cell measures 3.720, 3.720 and 17.347 Å, with angles of 90.00, 90.00 and 90.00 degrees. Symmetry generates all atoms from Ni at (0.000, 0.000, 0.000), Mo at (0.000, 0.000, 0.500) and Ru at (0.210, 0.250, 0.125).

The value obtained for the total magnetization is 0.000 μB per cell. The value obtained for the density of states at the Fermi level is 1.11 states/eV/atom. The calculation puts the energy relative to the elements at 0.520 eV per atom. The volume is 60 Å³/f.u. The value obtained for the excess energy over the best structure of this formula in the dataset is 535 meV per atom.

=====

Which of these has the highest energy relative to the elements? NiMoRu2

=====

Repeat the second record exactly.
Density functional theory data (PBE) for an optimized crystal structure of NiMoRu2.

The space group is I-42d (No. 122) and the conventional cell measures 3.720, 3.720 and 17.347 Å, with angles of 90.00, 90.00 and 90.00 degrees. Symmetry generates all atoms from Ni at (0.000, 0.000, 0.000), Mo at (0.000, 0.000, 0.500) and Ru at (0.210, 0.250, 0.125).

The value obtained for the total magnetization is 0.000 μB per cell. The value obtained for the density of states at the Fermi level is 1.11 states/eV/atom. The calculation puts the energy relative to the elements at 0.520 eV per atom. The volume is 60 Å³/f.u. The value obtained for the excess energy over the best structure of this formula in the dataset is 535 meV per atom.

=====

Which of these has the highest excess energy over the best structure of this formula in the dataset? NiMoRu2